1.
The following is a DFT calculation (GGA-PBE) of crystalline TlCuTeAu at its relaxed geometry.

Cell: 3.9594 3.9594 12.9679 Å, 90.00 90.00 90.00°
Sites, in units of the cell vectors:
Tl 0.2500 0.2500 0.1945
Tl 0.7500 0.7500 0.8055
Cu 0.2500 0.7500 0.5000
Cu 0.7500 0.2500 0.5000
Te 0.2500 0.2500 0.6338
Te 0.7500 0.7500 0.3662
Au 0.2500 0.7500 0.0000
Au 0.7500 0.2500 0.0000

Values from the calculation:
As for the space group: P4/nmm. Its energy relative to the elements, uncorrected is -0.0831 eV/atom.

=====

2.
The following is a DFT calculation (GGA-PBE) of crystalline Pm2YHo3 at its relaxed geometry.

Cell: 9.0069 9.0069 9.9631 Å, 123.11 123.11 36.18°
Sites, in units of the cell vectors:
Pm 0.0075 0.0075 0.3570
Pm 0.2690 0.2690 0.6258
Pm 0.7310 0.7310 0.3742
Pm 0.9925 0.9925 0.6430
Y 0.3675 0.3675 0.3672
Y 0.6325 0.6325 0.6328
Ho 0.1132 0.1132 0.1564
Ho 0.2099 0.2099 0.9266
Ho 0.4532 0.4532 0.1096
Ho 0.5468 0.5468 0.8904
Ho 0.7901 0.7901 0.0734
Ho 0.8868 0.8868 0.8436

Values from the calculation:
As for the space group: C2/m. The value obtained for the energy above the lowest structure with this stoichiometry is 0.000 eV/atom. Its calculated formation energy is 0.095 eV per atom.

=====

3.
The following is a DFT calculation (GGA-PBE) of crystalline ZnIrCl2 at its relaxed geometry.

Cell: 6.5412 6.5412 6.5412 Å, 90.00 90.00 90.00°
Sites, in units of the cell vectors:
Zn 0.0000 0.0000 0.0000
Zn 0.0000 0.5000 0.5000
Zn 0.5000 0.0000 0.5000
Zn 0.5000 0.5000 0.0000
Ir 0.2500 0.2500 0.2500
Ir 0.2500 0.7500 0.7500
Ir 0.7500 0.2500 0.7500
Ir 0.7500 0.7500 0.2500
Cl 0.0000 0.0000 0.5000
Cl 0.0000 0.5000 0.0000
Cl 0.2500 0.2500 0.7500
Cl 0.2500 0.7500 0.2500
Cl 0.5000 0.0000 0.0000
Cl 0.5000 0.5000 0.5000
Cl 0.7500 0.2500 0.2500
Cl 0.7500 0.7500 0.7500

Values from the calculation:
As for the space group: F-43m. The value obtained for the energy above the lowest structure with this stoichiometry is 1.041 eV/atom. Its energy relative to the elements, uncorrected is 0.8312 eV/atom.

=====

4.
The following is a DFT calculation (GGA-PBE) of crystalline RbAg6F12 at its relaxed geometry.

Cell: 6.8949 6.8949 6.8949 Å, 104.36 104.36 104.36°
Sites, in units of the cell vectors:
Rb 0.0000 0.0000 0.0000
Ag 0.2535 0.2535 0.6281
Ag 0.2535 0.6281 0.2535
Ag 0.3719 0.7465 0.7465
Ag 0.6281 0.2535 0.2535
Ag 0.7465 0.3719 0.7465
Ag 0.7465 0.7465 0.3719
F 0.1463 0.3950 0.3950
F 0.1597 0.5000 0.8403
F 0.1597 0.8403 0.5000
F 0.3950 0.1463 0.3950
F 0.3950 0.3950 0.1463
F 0.5000 0.1597 0.8403
F 0.5000 0.8403 0.1597
F 0.6050 0.6050 0.8537
F 0.6050 0.8537 0.6050
F 0.8403 0.1597 0.5000
F 0.8403 0.5000 0.1597
F 0.8537 0.6050 0.6050

Values from the calculation:
As for the space group: R-3m. Its energy relative to the elements, uncorrected is -1.1603 eV/atom.

=====

5.
The following is a DFT calculation (GGA-PBE) of crystalline La2Sm3Y6Tm at its relaxed geometry.

Cell: 6.2556 6.2556 11.9053 Å, 95.01 95.01 119.99°
Sites, in units of the cell vectors:
La 0.1662 0.8338 0.0000
La 0.8338 0.1662 0.0000
Sm 0.0000 0.0000 0.5000
Sm 0.3332 0.6668 0.5000
Sm 0.6668 0.3332 0.5000
Y 0.0842 0.4163 0.7486
Y 0.2518 0.2518 0.2519
Y 0.4163 0.0842 0.7486
Y 0.5837 0.9158 0.2514
Y 0.7482 0.7482 0.7481
Y 0.9158 0.5837 0.2514
Tm 0.5000 0.5000 0.0000

Values from the calculation:
As for the space group: C2/m. Its calculated formation energy is 0.015 eV per atom.

=====

6.
The following is a DFT calculation (GGA-PBE) of crystalline AlCr2Sb at its relaxed geometry.

Cell: 3.6988 4.1412 4.1530 Å, 90.00 90.00 90.00°
Sites, in units of the cell vectors:
Al 0.0000 0.0000 0.0000
Cr 0.5000 0.0000 0.5000
Cr 0.5000 0.5000 0.0000
Sb 0.0000 0.5000 0.5000

Values from the calculation:
As for the space group: Pmmm. The value obtained for the energy above the lowest structure with this stoichiometry is 0.101 eV/atom. Its energy relative to the elements, uncorrected is 0.2456 eV/atom.

=====

7.
The following is a DFT calculation (GGA-PBE) of crystalline Ta3CrCd at its relaxed geometry.

Cell: 4.8980 4.8980 4.8980 Å, 90.00 90.00 90.00°
Sites, in units of the cell vectors:
Ta 0.0000 0.0000 0.5000
Ta 0.0000 0.5000 0.0000
Ta 0.5000 0.0000 0.0000
Cr 0.5000 0.5000 0.5000
Cd 0.0000 0.0000 0.0000

Values from the calculation:
As for the space group: Pm-3m. The value obtained for the energy above the lowest structure with this stoichiometry is 1.752 eV/atom. Its calculated formation energy is 2.695 eV per atom.

=====

8.
The following is a DFT calculation (GGA-PBE) of crystalline RbZrTl at its relaxed geometry.

Cell: 4.9569 4.9608 12.3339 Å, 78.46 78.44 60.07°
Sites, in units of the cell vectors:
Rb 0.0000 0.0000 0.0000
Rb 0.4450 0.4478 0.6658
Zr 0.1892 0.1915 0.4331
Zr 0.5671 0.5686 0.2992
Tl 0.2693 0.2701 0.1923
Tl 0.8605 0.8622 0.4196

Values from the calculation:
As for the space group: P1. The value obtained for the energy above the lowest structure with this stoichiometry is 0.194 eV/atom. Its calculated formation energy is 0.259 eV per atom.